(1)
{"formula": "Y2Ag2C3", "functional": "PBE-GGA", "state": "relaxed", "lattice": [[5.801, -1.794, 0.000], [5.801, 1.794, 0.000], [-1.385, 0.000, 5.294]], "species": ["Ag", "Ag", "C", "C", "C", "Y", "Y"], "fractional_positions": [[0.141, 0.141, 0.351], [0.859, 0.859, 0.649], [0.000, 0.000, 0.000], [0.760, 0.760, 0.258], [0.240, 0.240, 0.742], [0.384, 0.384, 0.149], [0.616, 0.616, 0.851]], "final_energy_ev_per_cell": -42.4, "vol_a3_per_cell": 110.15}

---

(2)
{"formula": "PrCuSbP", "functional": "PBE-GGA", "state": "relaxed", "lattice": [[-3.143, -0.458, -2.572], [2.577, 0.115, -3.170], [1.099, -10.430, 0.514]], "species": ["Cu", "Cu", "P", "P", "Pr", "Pr", "Sb", "Sb"], "fractional_positions": [[0.000, 0.000, 0.500], [0.500, 0.500, 0.500], [0.000, 0.000, 0.000], [0.500, 0.500, 0.000], [0.500, 0.000, 0.211], [0.000, 0.500, 0.789], [0.000, 0.500, 0.342], [0.500, 0.000, 0.658]], "final_energy_ev_per_cell": -40.8, "vol_a3_per_cell": 175.42, "de_polymorph_kj_per_mol_atoms": 15.7}

---

(3)
{"formula": "TaGaNO", "functional": "PBE-GGA", "state": "relaxed", "lattice": [[3.241, 0.000, 0.000], [0.000, 3.241, 0.000], [0.000, 0.000, 8.737]], "species": ["Ga", "Ga", "N", "N", "O", "O", "Ta", "Ta"], "fractional_positions": [[0.000, 0.000, 0.500], [0.500, 0.500, 0.500], [0.500, 0.000, 0.239], [0.000, 0.500, 0.761], [0.000, 0.000, 0.000], [0.500, 0.500, 0.000], [0.000, 0.500, 0.157], [0.500, 0.000, 0.843]], "final_energy_ev_per_cell": -60.6, "vol_a3_per_cell": 91.79, "de_polymorph_kj_per_mol_atoms": 52.7}

---

(4)
{"formula": "SmYTa2Si2", "functional": "PBE-GGA", "state": "relaxed", "lattice": [[-1.450, 2.819, -2.463], [-3.060, -2.414, -0.961], [-4.233, 3.005, 5.931]], "species": ["Si", "Si", "Sm", "Ta", "Ta", "Y"], "fractional_positions": [[0.500, 0.500, 0.233], [0.000, 0.000, 0.764], [0.000, 0.000, 0.355], [0.500, 0.000, 0.999], [0.000, 0.500, 0.999], [0.500, 0.500, 0.650]], "final_energy_ev_per_cell": -49.3, "vol_a3_per_cell": 127.03}

---

(5)
{"formula": "NaMgCdIn", "functional": "PBE-GGA", "state": "relaxed", "lattice": [[0.000, 3.604, 3.604], [3.604, 0.000, 3.604], [3.604, 3.604, 0.000]], "species": ["Cd", "In", "Mg", "Na"], "fractional_positions": [[0.250, 0.250, 0.250], [0.000, 0.000, 0.000], [0.500, 0.500, 0.500], [0.750, 0.750, 0.750]], "final_energy_ev_per_cell": -6.7, "vol_a3_per_cell": 93.63, "de_polymorph_kj_per_mol_atoms": 3.1}

---

(6)
{"formula": "PrDyZr2Sb2", "functional": "PBE-GGA", "state": "relaxed", "lattice": [[7.143, 1.312, 5.311], [2.218, 3.984, 7.757], [-5.329, -5.225, -5.025]], "species": ["Dy", "Pr", "Sb", "Sb", "Zr", "Zr"], "fractional_positions": [[0.675, 0.675, 0.000], [0.321, 0.321, 0.000], [0.130, 0.130, 0.000], [0.871, 0.871, 0.000], [0.501, 0.001, 0.500], [0.001, 0.501, 0.500]], "final_energy_ev_per_cell": -39.5, "vol_a3_per_cell": 158.13}

---

(7)
{"formula": "Er3Bi2P", "functional": "PBE-GGA", "state": "relaxed", "lattice": [[-3.375, 1.960, -1.620], [2.228, -2.687, -2.382], [-6.233, -8.047, 3.250]], "species": ["Bi", "Bi", "Er", "Er", "Er", "P"], "fractional_positions": [[0.333, 0.667, 0.178], [0.667, 0.333, 0.822], [0.000, 0.000, 0.000], [0.667, 0.333, 0.361], [0.333, 0.667, 0.639], [0.000, 0.000, 0.500]], "final_energy_ev_per_cell": -33.5, "vol_a3_per_cell": 165.22}

---

(8)
{"formula": "ZrInCoPd", "functional": "PBE-GGA", "state": "relaxed", "lattice": [[0.000, 3.242, 3.242], [3.242, 0.000, 3.242], [3.242, 3.242, 0.000]], "species": ["Co", "In", "Pd", "Zr"], "fractional_positions": [[0.750, 0.750, 0.750], [0.000, 0.000, 0.000], [0.250, 0.250, 0.250], [0.500, 0.500, 0.500]], "final_energy_ev_per_cell": -25.2, "vol_a3_per_cell": 68.16, "de_polymorph_kj_per_mol_atoms": 0.0}

---

Q: Which formula does entry 5 have?
A: NaMgCdIn